Record 1
A relaxed structure of La8NdEr5, computed with PBE-GGA.

Output
density of states at the Fermi level: 1.558 states/eV per atom
total magnetization: 0.0 Bohr magnetons per cell

Cell: 8.661 8.661 8.661 Å, 111.57 105.35 111.57°
Fractional positions:
La  0.160  0.727  0.068
La  0.342  0.273  0.434
La  0.666  0.398  0.926
La  0.074  0.740  0.472
La  0.566  0.908  0.840
La  0.528  0.602  0.268
La  0.932  0.092  0.658
La  0.732  0.260  0.334
Er  0.872  0.908  0.180
Er  0.500  0.000  0.500
Er  0.820  0.692  0.727
Er  0.035  0.308  0.128
Er  0.273  0.092  0.965
Nd  0.250  0.500  0.750



Record 2
A relaxed structure of La6Nd2Er3, computed with PBE-GGA.

Output
density of states at the Fermi level: 1.680 states/eV per atom
total magnetization: 0.0 Bohr magnetons per cell

Cell: 6.347 8.208 15.107 Å, 49.35 60.47 97.13°
Fractional positions:
La  0.093  0.637  0.727
La  0.816  0.722  0.546
La  0.184  0.278  0.454
La  0.907  0.363  0.273
La  0.730  0.094  0.818
La  0.270  0.906  0.182
Er  0.000  0.000  0.000
Er  0.549  0.820  0.361
Er  0.451  0.180  0.639
Nd  0.360  0.541  0.910
Nd  0.640  0.459  0.090



Record 3
A relaxed structure of La2Nd3Er3, computed with PBE-GGA.

Output
density of states at the Fermi level: 1.463 states/eV per atom
total magnetization: 0.0 Bohr magnetons per cell

Cell: 3.640 9.116 17.064 Å, 90.00 90.00 101.52°
Fractional positions:
Nd  0.610  0.220  0.750
Nd  0.643  0.286  0.983
Nd  0.643  0.286  0.517
Nd  0.357  0.714  0.483
Nd  0.357  0.714  0.017
Nd  0.390  0.780  0.250
Er  0.993  0.985  0.899
Er  0.424  0.848  0.750
Er  0.993  0.985  0.601
Er  0.007  0.015  0.399
Er  0.576  0.152  0.250
Er  0.007  0.015  0.101
La  0.785  0.570  0.650
La  0.215  0.430  0.150
La  0.785  0.570  0.850
La  0.215  0.430  0.350



Record 4
A relaxed structure of La2Nd7Er, computed with PBE-GGA.

Output
density of states at the Fermi level: 1.574 states/eV per atom
total magnetization: 0.0 Bohr magnetons per cell

Cell: 3.519 15.191 15.191 Å, 154.09 90.00 90.00°
Fractional positions:
Nd  0.500  0.500  0.500
Nd  0.500  0.341  0.145
Nd  0.000  0.188  0.812
Nd  0.000  0.812  0.188
Nd  0.500  0.145  0.341
Nd  0.500  0.855  0.659
Nd  0.500  0.659  0.855
Er  0.000  0.000  0.000
La  0.500  0.296  0.704
La  0.500  0.704  0.296



Record 5
A relaxed structure of LaNd6Er5, computed with PBE-GGA.

Output
density of states at the Fermi level: 1.431 states/eV per atom
total magnetization: 0.0 Bohr magnetons per cell

Cell: 11.366 5.131 8.119 Å, 71.59 81.80 63.16°
Fractional positions:
Nd  0.746  0.754  0.000
Nd  0.747  0.420  0.666
Nd  0.747  0.086  0.334
Nd  0.253  0.914  0.666
Nd  0.253  0.580  0.334
Nd  0.254  0.246  0.000
Er  0.500  0.500  0.000
Er  0.000  0.669  0.662
Er  0.500  0.167  0.666
Er  0.500  0.833  0.334
Er  0.000  0.331  0.338
La  0.000  0.000  0.000



Record 6
A relaxed structure of La15Nd4Er, computed with PBE-GGA.

Output
density of states at the Fermi level: 1.725 states/eV per atom
total magnetization: 0.0 Bohr magnetons per cell

Cell: 5.237 5.237 26.285 Å, 90.00 90.00 90.00°
Fractional positions:
La  0.500  0.500  0.801
La  0.000  0.500  0.500
La  0.500  0.000  0.098
La  0.500  0.000  0.299
La  0.000  0.500  0.299
La  0.500  0.000  0.701
La  0.500  0.500  0.199
La  0.000  0.500  0.902
La  0.500  0.000  0.902
La  0.500  0.000  0.500
La  0.000  0.500  0.701
La  0.500  0.500  0.400
La  0.500  0.500  0.000
La  0.000  0.500  0.098
La  0.500  0.500  0.600
Nd  0.000  0.000  0.801
Nd  0.000  0.000  0.199
Nd  0.000  0.000  0.600
Nd  0.000  0.000  0.400
Er  0.000  0.000  0.000



Record 7
A relaxed structure of La12Nd2Er5, computed with PBE-GGA.

Output
density of states at the Fermi level: 1.587 states/eV per atom
total magnetization: 0.0 Bohr magnetons per cell

Cell: 11.849 8.915 9.546 Å, 70.10 90.00 131.65°
Fractional positions:
Er  0.218  0.435  0.638
Er  0.303  0.605  0.234
Er  0.697  0.395  0.766
Er  0.782  0.565  0.362
Er  0.000  0.000  0.500
La  0.154  0.791  0.407
La  0.099  0.199  0.079
La  0.637  0.791  0.407
La  0.436  0.872  0.772
La  0.475  0.427  0.189
La  0.048  0.573  0.811
La  0.952  0.427  0.189
La  0.363  0.209  0.593
La  0.525  0.573  0.811
La  0.901  0.801  0.921
La  0.564  0.128  0.228
La  0.846  0.209  0.593
Nd  0.287  0.000  0.000
Nd  0.713  0.000  0.000



Record 8
A relaxed structure of La3Nd2Er2, computed with PBE-GGA.

Output
density of states at the Fermi level: 1.566 states/eV per atom
total magnetization: 0.0 Bohr magnetons per cell

Cell: 3.558 8.697 9.140 Å, 118.16 101.22 90.00°
Fractional positions:
Er  0.146  0.331  0.292
Er  0.854  0.669  0.708
La  0.787  0.207  0.574
La  0.000  0.500  0.000
La  0.213  0.793  0.426
Nd  0.565  0.912  0.129
Nd  0.435  0.088  0.871



Record 9
A relaxed structure of La5Nd4Er, computed with PBE-GGA.

Output
density of states at the Fermi level: 1.496 states/eV per atom
total magnetization: 0.0 Bohr magnetons per cell

Cell: 3.647 11.756 12.261 Å, 135.87 98.55 90.00°
Fractional positions:
La  0.809  0.204  0.617
La  0.191  0.796  0.383
La  0.500  0.500  0.000
La  0.795  0.697  0.589
La  0.205  0.303  0.411
Nd  0.084  0.372  0.167
Nd  0.916  0.628  0.833
Nd  0.394  0.087  0.789
Nd  0.606  0.913  0.211
Er  0.500  0.000  0.000



Record 10
A relaxed structure of La11Nd4Er9, computed with PBE-GGA.

Output
density of states at the Fermi level: 1.445 states/eV per atom
total magnetization: 0.0 Bohr magnetons per cell

Cell: 3.746 15.533 15.533 Å, 113.13 90.00 90.00°
Fractional positions:
La  0.000  0.593  0.955
La  0.000  0.633  0.367
La  0.000  0.841  0.159
La  0.000  0.955  0.593
La  0.000  0.407  0.045
La  0.000  0.290  0.290
La  0.000  0.367  0.633
La  0.000  0.045  0.407
La  0.000  0.000  0.000
La  0.000  0.710  0.710
La  0.000  0.159  0.841
Er  0.500  0.211  0.065
Er  0.500  0.065  0.211
Er  0.500  0.366  0.835
Er  0.500  0.634  0.165
Er  0.500  0.789  0.935
Er  0.500  0.165  0.634
Er  0.500  0.500  0.500
Er  0.500  0.835  0.366
Er  0.500  0.935  0.789
Nd  0.500  0.555  0.756
Nd  0.500  0.244  0.445
Nd  0.500  0.756  0.555
Nd  0.500  0.445  0.244



Record 11
A relaxed structure of La2NdEr, computed with PBE-GGA.

Output
density of states at the Fermi level: 1.666 states/eV per atom
total magnetization: 0.0 Bohr magnetons per cell

Cell: 3.675 3.675 12.134 Å, 81.29 81.29 60.00°
Fractional positions:
Er  0.667  0.667  0.998
La  0.252  0.252  0.245
La  0.082  0.082  0.755
Nd  0.499  0.499  0.503



Record 12
A relaxed structure of LaNd9Er2, computed with PBE-GGA.

Output
density of states at the Fermi level: 1.755 states/eV per atom
total magnetization: 0.0 Bohr magnetons per cell

Cell: 5.170 5.170 15.544 Å, 90.00 90.00 90.00°
Fractional positions:
Nd  0.500  0.500  0.663
Nd  0.500  0.500  0.337
Nd  0.000  0.500  0.500
Nd  0.000  0.500  0.171
Nd  0.500  0.500  0.000
Nd  0.500  0.000  0.500
Nd  0.500  0.000  0.171
Nd  0.500  0.000  0.829
Nd  0.000  0.500  0.829
Er  0.000  0.000  0.335
Er  0.000  0.000  0.665
La  0.000  0.000  0.000



Record 13
A relaxed structure of La2Nd8Er, computed with PBE-GGA.

Output
density of states at the Fermi level: 1.644 states/eV per atom
total magnetization: 0.0 Bohr magnetons per cell

Cell: 9.516 10.280 10.280 Å, 42.86 40.23 40.23°
Fractional positions:
Nd  0.856  0.221  0.651
Nd  0.383  0.309  0.309
Nd  0.856  0.651  0.221
Nd  0.144  0.349  0.779
Nd  0.144  0.779  0.349
Nd  0.617  0.691  0.691
Nd  0.740  0.314  0.314
Nd  0.260  0.686  0.686
Er  0.000  0.000  0.000
La  0.650  0.858  0.858
La  0.350  0.142  0.142



Record 14
A relaxed structure of La8NdEr2, computed with PBE-GGA.

Output
density of states at the Fermi level: 1.632 states/eV per atom
total magnetization: 0.0 Bohr magnetons per cell

Cell: 5.791 10.466 10.466 Å, 40.24 92.77 92.77°
Fractional positions:
La  0.761  0.456  0.456
La  0.735  0.859  0.407
La  0.265  0.593  0.141
La  0.764  0.814  0.814
La  0.265  0.141  0.593
La  0.239  0.544  0.544
La  0.236  0.186  0.186
La  0.735  0.407  0.859
Er  0.746  0.284  0.284
Er  0.254  0.716  0.716
Nd  0.000  0.000  0.000



Record 15
A relaxed structure of LaNd4Er3, computed with PBE-GGA.

Output
density of states at the Fermi level: 1.742 states/eV per atom
total magnetization: 0.0 Bohr magnetons per cell

Cell: 6.346 7.365 11.655 Å, 90.00 90.00 90.00°
Fractional positions:
Nd  0.641  0.130  0.500
Nd  0.654  0.129  0.000
Nd  0.141  0.870  0.000
Nd  0.483  0.874  0.755
Nd  0.983  0.126  0.745
Nd  0.483  0.874  0.245
Nd  0.154  0.871  0.500
Nd  0.983  0.126  0.255
La  0.146  0.373  0.000
La  0.646  0.627  0.500
Er  0.481  0.379  0.750
Er  0.647  0.622  0.000
Er  0.481  0.379  0.250
Er  0.147  0.378  0.500
Er  0.981  0.621  0.750
Er  0.981  0.621  0.250



Record 16
A relaxed structure of La3Nd8Er2, computed with PBE-GGA.

Output
density of states at the Fermi level: 1.841 states/eV per atom
total magnetization: 0.0 Bohr magnetons per cell

Cell: 6.252 8.977 8.977 Å, 83.19 73.12 73.12°
Fractional positions:
Nd  0.210  0.558  0.558
Nd  0.677  0.080  0.569
Nd  0.046  0.841  0.841
Nd  0.323  0.431  0.920
Nd  0.954  0.159  0.159
Nd  0.790  0.442  0.442
Nd  0.677  0.569  0.080
Nd  0.323  0.920  0.431
La  0.500  0.000  0.000
La  0.000  0.762  0.238
La  0.000  0.238  0.762
Er  0.364  0.290  0.290
Er  0.636  0.710  0.710



Record 17
A relaxed structure of La4Nd4Er3, computed with PBE-GGA.

Output
density of states at the Fermi level: 1.769 states/eV per atom
total magnetization: 0.0 Bohr magnetons per cell

Cell: 3.581 5.806 18.502 Å, 80.96 84.45 90.00°
Fractional positions:
Nd  0.545  0.546  0.911
Nd  0.317  0.817  0.365
Nd  0.683  0.183  0.635
Nd  0.455  0.454  0.089
Er  0.000  0.000  0.000
Er  0.864  0.363  0.272
Er  0.136  0.637  0.729
La  0.729  0.729  0.542
La  0.407  0.906  0.185
La  0.593  0.094  0.815
La  0.271  0.271  0.458



Record 18
A relaxed structure of La4Nd3Er4, computed with PBE-GGA.

Output
density of states at the Fermi level: 1.518 states/eV per atom
total magnetization: 0.0 Bohr magnetons per cell

Cell: 3.657 5.141 20.209 Å, 97.29 95.17 90.03°
Fractional positions:
Nd  0.637  0.636  0.274
Nd  0.363  0.363  0.726
Nd  0.000  0.000  0.000
Er  0.092  0.092  0.185
Er  0.728  0.728  0.457
Er  0.272  0.272  0.543
Er  0.908  0.908  0.815
La  0.454  0.454  0.908
La  0.546  0.546  0.092
La  0.817  0.817  0.633
La  0.183  0.183  0.367



Record 19
A relaxed structure of La2NdEr, computed with PBE-GGA.

Output
density of states at the Fermi level: 1.784 states/eV per atom
total magnetization: 0.0 Bohr magnetons per cell

Cell: 3.706 3.706 10.177 Å, 90.00 90.00 90.00°
Fractional positions:
La  0.000  0.000  0.244
La  0.000  0.000  0.756
Er  0.500  0.500  0.000
Nd  0.500  0.500  0.500



Record 20
A relaxed structure of La2Nd5Er4, computed with PBE-GGA.

Output
density of states at the Fermi level: 1.608 states/eV per atom
total magnetization: 0.0 Bohr magnetons per cell

Cell: 3.607 12.229 9.312 Å, 107.08 101.17 90.00°
Fractional positions:
Nd  0.893  0.482  0.786
Nd  0.166  0.013  0.332
Nd  0.107  0.518  0.214
Nd  0.834  0.987  0.668
Nd  0.500  0.000  0.000
Er  0.994  0.247  0.988
Er  0.669  0.770  0.339
Er  0.331  0.230  0.661
Er  0.006  0.753  0.012
La  0.320  0.700  0.641
La  0.680  0.300  0.359



no.,ρ (g cm⁻³),E_form (eV/atom)
1,6.97,0.23
2,7.03,0.02
3,7.26,0.12
4,6.81,0.14
5,7.62,0.02
6,6.51,0.01
7,6.91,0.10
8,7.10,0.11
9,6.68,0.04
10,7.21,0.07
11,7.00,0.03
12,7.08,0.02
13,6.78,0.12
14,6.45,0.14
15,7.42,0.03
16,6.86,0.14
17,7.18,0.06
18,7.33,0.02
19,7.00,0.02
20,7.20,0.14